SrTlBPb | PBE | optimized geometry

a b c (Å): 3.742 5.025 6.182
angles (deg): 66.04 89.90 90.02
Element x y z (fractional)
Tl1 0.811 0.052 0.978
B1 0.812 0.270 0.543
Sr1 0.314 0.728 0.626
Pb1 0.311 0.421 0.238

The density of states at the Fermi level is 1.9 states/eV/f.u. Its space-group type is P1. The calculation puts the volume at 106 Å³/f.u. Its formation energy from the elements is 0.355 eV/atom. For the total magnetic moment, the calculation gives 0.00 μB per atom.

---

CoTeRu4 | PBE | optimized geometry

a b c (Å): 5.165 5.165 5.165
angles (deg): 60.00 60.00 60.00
Site moments in Bohr magnetons follow the coordinates.
Element x y z (fractional)
Co1 0.000 0.000 0.000  2.02
Ru1 0.374 0.374 0.877  0.76
Ru2 0.877 0.374 0.374  0.76
Ru3 0.374 0.877 0.374  0.76
Ru4 0.374 0.374 0.374  0.76
Te1 0.750 0.750 0.750  0.00

The density of states at the Fermi level is 8.9 states/eV/f.u. Its space-group type is F-43m. The calculation puts the volume at 97 Å³/f.u. For the total magnetic moment, the calculation gives 0.85 μB per atom. Its uncorrected formation energy is 4.62 eV per formula unit.

---

La3YW | PBE | optimized geometry

a b c (Å): 5.690 5.690 5.690
angles (deg): 90.00 90.00 90.00
Site moments in Bohr magnetons follow the coordinates.
Element x y z (fractional)
La1 0.000 0.500 0.000  0.03
La2 0.500 0.000 0.000  0.01
La3 0.000 0.000 0.500  0.03
Y1 0.000 0.000 0.000  0.06
W1 0.500 0.500 0.500  2.90

The density of states at the Fermi level is 6.4 states/eV/f.u. Its space-group type is Pm-3m. The calculation puts the volume at 184 Å³/f.u. Its formation energy from the elements is 1.629 eV/atom. For the total magnetic moment, the calculation gives 0.85 μB per atom.

---

Cs4LiBr4 | PBE | optimized geometry

a b c (Å): 7.542 10.776 10.776
angles (deg): 90.00 90.00 90.00
Element x y z (fractional)
Cs1 0.311 0.729 0.000
Cs2 0.189 0.771 0.500
Cs3 0.811 0.500 0.229
Cs4 0.689 0.000 0.271
Cs5 0.311 0.271 0.000
Cs6 0.189 0.229 0.500
Cs7 0.811 0.500 0.771
Cs8 0.689 0.000 0.729
Br1 0.192 0.000 0.799
Br2 0.808 0.201 0.000
Br3 0.692 0.299 0.500
Br4 0.308 0.500 0.299
Br5 0.192 0.000 0.201
Br6 0.308 0.500 0.701
Br7 0.692 0.701 0.500
Br8 0.808 0.799 0.000
Li1 0.000 0.000 0.000
Li2 0.500 0.500 0.500

The density of states at the Fermi level is 2.1 states/eV/f.u. Its space-group type is P4_2/nmc. The calculation puts the volume at 438 Å³/f.u. For the total magnetic moment, the calculation gives 0.03 μB per atom. Its uncorrected formation energy is -13.21 eV per formula unit.